DFT (GGA+U) results for an optimized crystal structure of LiNiBO3.

Calculated values
offset from the most stable computed form = 0.018 eV/atom
DFT total energy = -75.122 eV/cell
space group = P-1
magnetic moment = 3.985 μB/cell

Lattice parameters (Å, degrees): 4.959 5.146 5.823 93.45 113.17 117.18
Fractional positions:
Li 0.052 0.111 0.318
Li 0.948 0.889 0.682
Ni 0.329 0.737 0.249
Ni 0.671 0.263 0.751
B 0.310 0.592 0.745
B 0.690 0.408 0.255
O 0.126 0.654 0.847
O 0.268 0.305 0.708
O 0.490 0.185 0.338
O 0.510 0.815 0.662
O 0.732 0.695 0.292
O 0.874 0.346 0.153